Entry 1:
The following is a DFT calculation (GGA-PBE) of CrCu2 after structural relaxation.

```
CrCu2
1.0
4.9060 -1.2196 0.0000
4.9060 1.2196 0.0000
-1.6464 0.0000 6.0606
Cr Cu
2 4
Direct
0.0000 0.0000 0.0000
0.6586 0.6586 0.3195
0.0581 0.0581 0.6163
0.3296 0.3296 0.6581
0.3875 0.3875 0.2846
0.7269 0.7269 0.9459
```

Energy relative to the elements   0.290 eV per atom
SG   Cm

Entry 2:
The following is a DFT calculation (GGA-PBE) of SnPd5Au6 after structural relaxation.

```
SnPd5Au6
1.0
-2.0660 4.0888 6.0920
2.0660 -4.0888 6.0920
2.0660 4.0888 -6.0920
Sn Pd Au
1 5 6
Direct
0.0000 0.0000 0.0000
0.1525 0.6525 0.5000
0.3251 0.3251 0.0000
0.5000 0.0000 0.5000
0.6749 0.6749 0.0000
0.8475 0.3475 0.5000
0.0899 0.8308 0.2591
0.2694 0.5000 0.7694
0.4283 0.1692 0.2591
0.5717 0.8308 0.7409
0.7306 0.5000 0.2306
0.9101 0.1692 0.7409
```

Energy relative to the elements   -0.161 eV per atom
ΔE to the lowest computed polymorph   0.0000 eV per atom
SG   Immm

Entry 3:
The following is a DFT calculation (GGA-PBE) of SmPu2Mg after structural relaxation.

```
SmPu2Mg
1.0
3.2619 0.0000 0.0000
0.0000 3.2619 0.0000
0.0000 0.0000 10.4251
Sm Pu Mg
1 2 1
Direct
0.0000 0.0000 0.0000
0.5000 0.5000 0.2601
0.5000 0.5000 0.7399
0.0000 0.0000 0.5000
```

Energy relative to the elements   0.212 eV per atom
ΔE to the lowest computed polymorph   0.0391 eV per atom
SG   P4/mmm

Entry 4:
The following is a DFT calculation (GGA-PBE) of ZrIn6 after structural relaxation.

```
ZrIn6
1.0
-3.9843 3.9843 3.9843
3.9843 -3.9843 3.9843
3.9843 3.9843 -3.9843
Zr In
1 6
Direct
0.0000 0.0000 0.0000
0.2500 0.5000 0.7500
0.2500 0.7500 0.5000
0.5000 0.2500 0.7500
0.5000 0.7500 0.2500
0.7500 0.2500 0.5000
0.7500 0.5000 0.2500
```

Energy relative to the elements   0.840 eV per atom
SG   Im-3m

Entry 5:
The following is a DFT calculation (GGA-PBE) of VZnH after structural relaxation.

```
VZnH
1.0
6.3769 0.0000 0.0000
0.0000 3.5510 0.0000
0.0000 0.0000 5.3232
V Zn H
4 4 4
Direct
0.1483 0.2500 0.1041
0.3517 0.7500 0.6041
0.6483 0.2500 0.3959
0.8517 0.7500 0.8959
0.0500 0.2500 0.6330
0.4500 0.7500 0.1330
0.5500 0.2500 0.8670
0.9500 0.7500 0.3670
0.1384 0.7500 0.9531
0.3616 0.2500 0.4531
0.6384 0.7500 0.5469
0.8616 0.2500 0.0469
```

ΔE to the lowest computed polymorph   0.1180 eV per atom
SG   Pnma

Entry 6:
The following is a DFT calculation (GGA-PBE) of CdAgI after structural relaxation.

```
CdAgI
1.0
4.3455 0.0000 0.0000
-2.1589 4.7824 0.0000
-0.0427 -2.4348 9.5017
Cd Ag I
2 2 2
Direct
0.1688 0.3385 0.0433
0.8312 0.6615 0.9567
0.4868 0.9728 0.1409
0.5132 0.0272 0.8591
0.1058 0.2084 0.3309
0.8942 0.7916 0.6691
```

ΔE to the lowest computed polymorph   0.0091 eV per atom
SG   P-1

| no. | uncorrected energy (hartree per atom) |
| --- | --- |
| 1 | -0.2076 |
| 2 | -0.1579 |
| 3 | -0.3136 |
| 4 | -0.1003 |
| 5 | -0.1659 |
| 6 | -0.0704 |